Record 1
# La6Co2NiI3

Crystalline La6Co2NiI3 at its relaxed geometry (PBE, Alexandria).

Properties
Symmetry ... C2/m, No. 12
Formation energy from raw total energies ... -0.713 eV/atom

a = 7.1964 Å, b = 7.1964 Å, c = 8.5798 Å
α = 98.01°, β = 98.01°, γ = 120.05°
Closest atoms and distances in Å follow each position.
Positions (direct):
La  0.5978  0.9388  0.8176  2 Co 2.80-2.81, 1 Ni 2.88
I  0.1662  0.8338  0.5000  6 La 3.52-3.57
Co  0.3333  0.6667  0.0000  6 La 2.80-2.81
La  0.2801  0.2801  0.8178  2 Co 2.81, 1 Ni 2.87
Ni  0.0000  0.0000  0.0000  6 La 2.87-2.88
La  0.4022  0.0612  0.1824  2 Co 2.80-2.81, 1 Ni 2.88
Co  0.6667  0.3333  0.0000  6 La 2.80-2.81
La  0.9388  0.5978  0.8176  2 Co 2.80-2.81, 1 Ni 2.88
La  0.0612  0.4022  0.1824  2 Co 2.80-2.81, 1 Ni 2.88
I  0.8338  0.1662  0.5000  6 La 3.52-3.57
La  0.7199  0.7199  0.1822  2 Co 2.81, 1 Ni 2.87
I  0.5000  0.5000  0.5000  6 La 3.51-3.57


Record 2
# La4CoNiI2

Crystalline La4CoNiI2 at its relaxed geometry (PBE, Alexandria).

Properties
Symmetry ... P2/m, No. 10
Formation energy from raw total energies ... -0.719 eV/atom

a = 4.2037 Å, b = 7.1699 Å, c = 8.5572 Å
α = 105.94°, β = 90.00°, γ = 90.00°
Closest atoms and distances in Å follow each position.
Positions (direct):
I  0.5000  0.0000  0.5000  6 La 3.56-3.59
Co  0.5000  0.5000  0.0000  6 La 2.74-2.85
La  0.5000  0.2392  0.1820  1 Co 2.74, 2 Ni 2.88
I  0.0000  0.5000  0.5000  6 La 3.52-3.54
La  0.0000  0.7268  0.1831  1 Ni 2.82, 2 Co 2.85
Ni  0.0000  0.0000  0.0000  6 La 2.82-2.88
La  0.0000  0.2732  0.8169  1 Ni 2.82, 2 Co 2.85
La  0.5000  0.7608  0.8180  1 Co 2.74, 2 Ni 2.88


Record 3
# La6CoNi2I3

Crystalline La6CoNi2I3 at its relaxed geometry (PBE, Alexandria).

Properties
Symmetry ... C2/m, No. 12
Formation energy from raw total energies ... -0.728 eV/atom

a = 7.2504 Å, b = 7.2504 Å, c = 8.5718 Å
α = 98.07°, β = 98.07°, γ = 120.09°
Closest atoms and distances in Å follow each position.
Positions (direct):
La  0.2638  0.2638  0.8166  1 Co 2.79, 2 Ni 2.88
I  0.5000  0.5000  0.5000  6 La 3.54-3.59
I  0.8328  0.1672  0.5000  6 La 3.53-3.59
Ni  0.3334  0.6666  0.0000  6 La 2.87-2.88
Co  0.0000  0.0000  0.0000  6 La 2.79-2.80
I  0.1672  0.8328  0.5000  6 La 3.53-3.59
La  0.0614  0.3866  0.1830  1 Co 2.80, 2 Ni 2.87
La  0.6134  0.9386  0.8170  1 Co 2.80, 2 Ni 2.87
La  0.9386  0.6134  0.8170  1 Co 2.80, 2 Ni 2.87
La  0.7362  0.7362  0.1834  1 Co 2.79, 2 Ni 2.88
La  0.3866  0.0614  0.1830  1 Co 2.80, 2 Ni 2.87
Ni  0.6666  0.3334  0.0000  6 La 2.87-2.88